Entry 1:
The following is a DFT calculation (PBE) of an optimized crystal structure of Na2BeOsRu.

The structure in POSCAR format:
```
Na2BeOsRu
1.0
5.142 0.000 0.000
0.000 4.084 0.000
0.000 0.000 5.142
Be Na Os Ru
1 2 1 1
direct
0.000 0.500 0.000
0.000 0.000 0.500
0.500 0.000 0.000
0.500 0.500 0.500
0.000 0.000 0.000
```

Symmetry ... No. 123
Formation enthalpy at 0 K ... 1.98 eV/atom


Entry 2:
The following is a DFT calculation (PBE) of an optimized crystal structure of CsTl11.

The structure in POSCAR format:
```
CsTl11
1.0
3.530 0.000 0.000
0.000 9.857 -5.691
0.000 0.000 11.382
Cs Tl
1 11
direct
0.000 0.000 0.000
0.000 0.333 0.667
0.500 0.635 0.817
0.500 0.365 0.183
0.000 0.500 0.500
0.000 0.500 0.000
0.500 0.817 0.635
0.500 0.183 0.365
0.000 0.667 0.333
0.000 0.000 0.500
0.500 0.183 0.817
0.500 0.817 0.183
```

Symmetry ... No. 191
Formation enthalpy at 0 K ... 0.00 eV/atom


Entry 3:
The following is a DFT calculation (PBE) of an optimized crystal structure of KInSn4.

The structure in POSCAR format:
```
KInSn4
1.0
6.361 0.000 0.000
3.180 5.509 0.000
3.180 1.836 5.193
Sn K In
4 1 1
direct
0.625 0.625 0.124
0.625 0.124 0.625
0.124 0.625 0.625
0.625 0.625 0.625
0.250 0.250 0.250
0.000 0.000 0.000
```

Symmetry ... No. 216
Formation enthalpy at 0 K ... -0.03 eV/atom


Entry 4:
The following is a DFT calculation (PBE) of an optimized crystal structure of La2Sc2Au.

The structure in POSCAR format:
```
La2Sc2Au
1.0
7.271 0.000 0.000
0.000 7.271 0.000
0.000 0.000 5.363
La Sc Au
4 4 2
direct
0.837 0.337 0.500
0.163 0.663 0.500
0.337 0.163 0.500
0.663 0.837 0.500
0.651 0.151 0.000
0.151 0.349 0.000
0.349 0.849 0.000
0.849 0.651 0.000
0.500 0.500 0.000
0.000 0.000 0.000
```

Symmetry ... No. 127
Formation enthalpy at 0 K ... -0.21 eV/atom